Material: Tm2MgS4
Method: DFT, PBE
State: optimized geometry

The structure in POSCAR format:
```
Tm2MgS4
1.0
7.812 0.000 0.000
0.000 7.275 0.000
0.000 0.000 11.315
Tm Mg S
8 4 16
direct
0.049 0.250 0.192
0.064 0.750 0.484
0.436 0.250 0.984
0.451 0.750 0.692
0.549 0.250 0.308
0.564 0.750 0.016
0.936 0.250 0.516
0.951 0.750 0.808
0.175 0.750 0.098
0.325 0.250 0.598
0.675 0.750 0.402
0.825 0.250 0.902
0.113 0.250 0.957
0.123 0.002 0.658
0.123 0.498 0.658
0.231 0.250 0.391
0.269 0.750 0.891
0.377 0.502 0.158
0.377 0.998 0.158
0.387 0.750 0.457
0.613 0.250 0.543
0.623 0.002 0.842
0.623 0.498 0.842
0.731 0.250 0.109
0.769 0.750 0.609
0.877 0.502 0.342
0.877 0.998 0.342
0.887 0.750 0.043
```

Computed properties:
* calculated density: 5066 kg/m³
* SG: No. 62
* D(E_F): 0.00 states/eV per cell
* ΔE_f (raw): -11.5 eV per formula unit
* relative energy among the computed polymorphs: 176 kJ/mol of formula units
* total magnetization: 0.000 μB per atom